No. 1
ZrCdHg2 | PBE | relaxed

The space group is Pmm2 (No. 25) and the conventional cell measures 3.167, 4.373 and 6.449 Å, with angles of 90.00, 90.00 and 90.00 degrees. The inequivalent atoms are Zr at (0.000, 0.000, 0.000), Cd at (0.500, 0.500, 0.257), Hg at (0.000, 0.000, 0.496) and Hg at (0.500, 0.500, 0.772).

The value obtained for the formation energy from the elements is 1.8 kJ per mole of atoms.

=====

No. 2
MgZnGa3 | PBE | relaxed

The space group is Pm-3m (No. 221) and the conventional cell measures 5.124, 5.124 and 5.124 Å, with angles of 90.00, 90.00 and 90.00 degrees. The inequivalent atoms are Mg at (0.000, 0.000, 0.000), Zn at (0.500, 0.500, 0.500) and Ga at (0.000, 0.000, 0.500).

The value obtained for the formation energy from the elements is 52.5 kJ per mole of atoms. Its energy relative to the lowest polymorph listed for this composition is 579.6 meV/atom.

=====

No. 3
Ba3WN4 | PBE | relaxed

The space group is Pnma (No. 62) and the conventional cell measures 8.212, 9.068 and 8.850 Å, with angles of 90.00, 90.00 and 90.00 degrees. The inequivalent atoms are Ba at (0.040, 0.027, 0.223), Ba at (0.172, 0.750, 0.478), W at (0.222, 0.750, 0.985), N at (0.004, 0.750, 0.056), N at (0.174, 0.075, 0.547) and N at (0.217, 0.750, 0.769).

Its energy relative to the lowest polymorph listed for this composition is 44.1 meV/atom. Its energy relative to the elements, uncorrected is -0.865 eV/atom.

=====

No. 4
Zn2CdAs | PBE | relaxed

The space group is I-42d (No. 122) and the conventional cell measures 6.288, 6.288 and 10.750 Å, with angles of 90.00, 90.00 and 90.00 degrees. The inequivalent atoms are Zn at (0.197, 0.250, 0.125), Cd at (0.000, 0.000, 0.500) and As at (0.000, 0.000, 0.000).

The value obtained for the formation energy from the elements is 16.7 kJ per mole of atoms. Its energy relative to the lowest polymorph listed for this composition is 97.8 meV/atom.

=====

No. 5
Zn7InAu4 | PBE | relaxed

The space group is C2/m (No. 12) and the conventional cell measures 11.453, 4.945 and 9.726 Å, with angles of 90.00, 125.96 and 90.00 degrees. The inequivalent atoms are Zn at (0.000, 0.000, 0.000), Zn at (0.089, 0.500, 0.439), Zn at (0.170, 0.000, 0.888), Zn at (0.204, 0.000, 0.647), In at (0.000, 0.500, 0.000), Au at (0.114, 0.000, 0.334) and Au at (0.192, 0.500, 0.777).

The value obtained for the formation energy from the elements is -3.5 kJ per mole of atoms.

=====

No. 6
MgZrCu3 | PBE | relaxed

The space group is Cmcm (No. 63) and the conventional cell measures 2.888, 25.241 and 4.326 Å, with angles of 90.00, 90.00 and 90.00 degrees. The inequivalent atoms are Mg at (0.000, 0.214, 0.250), Zr at (0.000, 0.074, 0.750), Cu at (0.000, 0.325, 0.250), Cu at (0.000, 0.377, 0.750) and Cu at (0.000, 0.475, 0.750).

The value obtained for the formation energy from the elements is -10.6 kJ per mole of atoms. Its energy relative to the lowest polymorph listed for this composition is 0.0 meV/atom.

=====

No. 7
Er4Zn3Pd | PBE | relaxed

The space group is Pmm2 (No. 25) and the conventional cell measures 3.658, 4.533 and 10.886 Å, with angles of 90.00, 90.00 and 90.00 degrees. The inequivalent atoms are Er at (0.000, 0.000, 0.000), Er at (0.000, 0.500, 0.282), Er at (0.500, 0.000, 0.484), Er at (0.500, 0.500, 0.791), Zn at (0.000, 0.000, 0.712), Zn at (0.000, 0.500, 0.566), Zn at (0.500, 0.500, 0.065) and Pd at (0.500, 0.000, 0.215).

The value obtained for the formation energy from the elements is -44.3 kJ per mole of atoms. Its energy relative to the lowest polymorph listed for this composition is 44.8 meV/atom.

=====

No. 8
ErPd7Au4 | PBE | relaxed

The space group is P-1 (No. 2) and the conventional cell measures 4.968, 5.785 and 7.640 Å, with angles of 77.98, 71.08 and 89.80 degrees. The inequivalent atoms are Er at (0.000, 0.000, 0.000), Pd at (0.000, 0.500, 0.000), Pd at (0.172, 0.919, 0.331), Pd at (0.331, 0.330, 0.670), Pd at (0.499, 0.747, 0.001), Au at (0.166, 0.422, 0.330) and Au at (0.338, 0.829, 0.665).

The value obtained for the formation energy from the elements is -34.4 kJ per mole of atoms. Its energy relative to the lowest polymorph listed for this composition is 0.0 meV/atom.

=====

No. 9
KEr3As4O12 | PBE | relaxed

The space group is R32 (No. 155, hexagonal axes) and the conventional cell measures 11.3828, 11.3828 and 8.8861 Å, with angles of 90.00, 90.00 and 120.00 degrees. The inequivalent atoms are K at (0.0000, 0.0000, 0.0000), Er at (0.0000, 0.5682, 0.0000), As at (0.0000, 0.0000, 0.5000), As at (0.0000, 0.4201, 0.5000), O at (0.0000, 0.5756, 0.5000), O at (0.0000, 0.8291, 0.5000) and O at (0.0385, 0.2027, 0.2197).

Its energy relative to the elements, uncorrected is -1.867 eV/atom.

=====

No. 10
Tc2TeRh | PBE | relaxed

The space group is Immm (No. 71) and the conventional cell measures 3.162, 4.434 and 9.291 Å, with angles of 90.00, 90.00 and 90.00 degrees. The inequivalent atoms are Tc at (0.000, 0.000, 0.222), Te at (0.000, 0.500, 0.500) and Rh at (0.000, 0.500, 0.000).

Its energy relative to the elements, uncorrected is 0.325 eV/atom.

=====

No. 11
Pr2Er8Th | PBE | relaxed

The space group is C2/m (No. 12) and the conventional cell measures 8.921, 15.910 and 5.796 Å, with angles of 90.00, 119.80 and 90.00 degrees. The inequivalent atoms are Pr at (0.000, 0.195, 0.000), Er at (0.000, 0.289, 0.500), Er at (0.077, 0.000, 0.297), Er at (0.209, 0.388, 0.165) and Th at (0.000, 0.500, 0.500).

The value obtained for the formation energy from the elements is 17.6 kJ per mole of atoms. Its energy relative to the lowest polymorph listed for this composition is 152.8 meV/atom.

=====

No. 12
TiCd2Au | PBE | relaxed

The space group is Fm-3m (No. 225) and the conventional cell measures 6.707, 6.707 and 6.707 Å, with angles of 90.00, 90.00 and 90.00 degrees. The inequivalent atoms are Ti at (0.000, 0.000, 0.000), Cd at (0.250, 0.250, 0.250) and Au at (0.000, 0.000, 0.500).

The value obtained for the formation energy from the elements is -0.8 kJ per mole of atoms. Its energy relative to the lowest polymorph listed for this composition is 74.2 meV/atom.

=====

No. 13
RbNbAl2N | PBE | relaxed

The space group is P4/mmm (No. 123) and the conventional cell measures 5.285, 5.285 and 4.032 Å, with angles of 90.00, 90.00 and 90.00 degrees. The inequivalent atoms are Rb at (0.000, 0.000, 0.000), Nb at (0.500, 0.500, 0.500), Al at (0.000, 0.500, 0.000) and N at (0.000, 0.000, 0.500).

Its energy relative to the elements, uncorrected is 2.420 eV/atom.

=====

No. 14
Al3Cl4 | PBE | relaxed

The space group is P6/mmm (No. 191) and the conventional cell measures 6.0352, 6.0352 and 4.9472 Å, with angles of 90.00, 90.00 and 120.00 degrees. The inequivalent atoms are Al at (0.0000, 0.5000, 0.0000), Cl at (0.0000, 0.0000, 0.2530) and Cl at (0.3333, 0.6667, 0.5000).

Its energy relative to the elements, uncorrected is -0.163 eV/atom.

=====

No. 15
KNpGeO5 | PBE | relaxed

The space group is C2/c (No. 15) and the conventional cell measures 7.395, 9.716 and 7.987 Å, with angles of 90.00, 115.19 and 90.00 degrees. The inequivalent atoms are K at (0.000, 0.168, 0.250), Np at (0.000, 0.500, 0.000), Ge at (0.000, 0.187, 0.750), O at (0.000, 0.440, 0.250), O at (0.086, 0.292, 0.615) and O at (0.194, 0.074, 0.895).

Its energy relative to the elements, uncorrected is -2.303 eV/atom.

=====

No. 16
Zr6Co2Pb | PBE | relaxed

The space group is Immm (No. 71) and the conventional cell measures 8.562, 8.709 and 9.979 Å, with angles of 90.00, 90.00 and 90.00 degrees. The inequivalent atoms are Zr at (0.000, 0.210, 0.240), Zr at (0.193, 0.500, 0.174), Zr at (0.199, 0.312, 0.500), Co at (0.000, 0.353, 0.000), Co at (0.000, 0.500, 0.376), Pb at (0.000, 0.000, 0.000) and Pb at (0.000, 0.000, 0.500).

The value obtained for the formation energy from the elements is -15.8 kJ per mole of atoms.

=====

No. 17
LaTl2 | PBE | relaxed

The space group is Cmcm (No. 63) and the conventional cell measures 3.860, 18.375 and 5.248 Å, with angles of 90.00, 90.00 and 90.00 degrees. The inequivalent atoms are La at (0.000, 0.107, 0.250), Tl at (0.000, 0.225, 0.750) and Tl at (0.000, 0.442, 0.250).

The value obtained for the formation energy from the elements is -24.7 kJ per mole of atoms.

=====

No. 18
PuTl3Pt8 | PBE | relaxed

The space group is R3m (No. 160, hexagonal axes) and the conventional cell measures 5.4644, 5.4644 and 26.6420 Å, with angles of 90.00, 90.00 and 120.00 degrees. The inequivalent atoms are Pu at (0.0000, 0.0000, 0.0000), Tl at (0.0000, 0.0000, 0.3792), Tl at (0.0000, 0.0000, 0.5022), Tl at (0.0000, 0.0000, 0.8729), Pt at (0.0000, 0.0000, 0.1882), Pt at (0.0000, 0.0000, 0.6882), Pt at (0.0023, 0.5012, 0.9392) and Pt at (0.1672, 0.3344, 0.7703).

The value obtained for the formation energy from the elements is -31.8 kJ per mole of atoms.

=====

No. 19
ScFe2Pb | PBE | relaxed

The space group is P4mm (No. 99) and the conventional cell measures 3.208, 3.208 and 6.966 Å, with angles of 90.00, 90.00 and 90.00 degrees. The inequivalent atoms are Sc at (0.000, 0.000, 0.000), Fe at (0.000, 0.000, 0.393), Fe at (0.500, 0.500, 0.230) and Pb at (0.500, 0.500, 0.657).

The value obtained for the formation energy from the elements is 9.2 kJ per mole of atoms.

=====

No. 20
Sm9Ho2Mg | PBE | relaxed

The space group is P4/mmm (No. 123) and the conventional cell measures 5.050, 5.050 and 15.264 Å, with angles of 90.00, 90.00 and 90.00 degrees. The inequivalent atoms are Sm at (0.000, 0.000, 0.000), Sm at (0.000, 0.000, 0.330), Sm at (0.000, 0.500, 0.165), Sm at (0.000, 0.500, 0.500), Ho at (0.500, 0.500, 0.331) and Mg at (0.500, 0.500, 0.000).

The value obtained for the formation energy from the elements is 1.4 kJ per mole of atoms.

=====

No. 21
RbCd2GeTe4 | PBE | relaxed

The space group is Fmm2 (No. 42) and the conventional cell measures 11.018, 11.074 and 9.761 Å, with angles of 90.00, 90.00 and 90.00 degrees. The inequivalent atoms are Rb at (0.000, 0.000, 0.000), Cd at (0.250, 0.250, 0.250), Ge at (0.000, 0.000, 0.502), Te at (0.000, 0.199, 0.345) and Te at (0.200, 0.000, 0.659).

Its energy relative to the elements, uncorrected is -0.348 eV/atom.

=====

No. 22
Cs4Cd5 | PBE | relaxed

The space group is I4/mmm (No. 139) and the conventional cell measures 12.495, 12.495 and 5.851 Å, with angles of 90.00, 90.00 and 90.00 degrees. The inequivalent atoms are Cs at (0.000, 0.294, 0.000), Cd at (0.000, 0.000, 0.000) and Cd at (0.122, 0.122, 0.500).

The value obtained for the formation energy from the elements is 1.1 kJ per mole of atoms.